Entry 1:
The following is a DFT calculation (PBE) of an optimized crystal structure of Nd3P2F.

crystal system = monoclinic
raw formation energy = -1.859 eV/atom

Lattice parameters (Å, degrees): 6.968 6.968 11.730 114.21 114.21 33.81
Positions (direct):
Nd: 0.007 0.007 0.253
Nd: 0.332 0.332 0.920
Nd: 0.337 0.337 0.409
Nd: 0.663 0.663 0.591
Nd: 0.668 0.668 0.080
Nd: 0.993 0.993 0.747
P: 0.000 0.000 0.000
P: 0.000 0.000 0.500
P: 0.341 0.341 0.172
P: 0.659 0.659 0.828
F: 0.341 0.341 0.709
F: 0.659 0.659 0.291

Entry 2:
The following is a DFT calculation (PBE) of an optimized crystal structure of Nd6P5F.

crystal system = monoclinic
raw formation energy = -1.737 eV/atom

Lattice parameters (Å, degrees): 7.132 7.132 7.134 99.66 99.66 119.92
Positions (direct):
Nd: 0.077 0.416 0.748
Nd: 0.245 0.245 0.256
Nd: 0.416 0.077 0.748
Nd: 0.584 0.923 0.252
Nd: 0.755 0.755 0.744
Nd: 0.923 0.584 0.252
P: 0.000 0.000 0.500
P: 0.167 0.833 0.000
P: 0.333 0.667 0.500
P: 0.667 0.333 0.500
P: 0.833 0.167 0.000
F: 0.500 0.500 0.000

Entry 3:
The following is a DFT calculation (PBE) of an optimized crystal structure of Nd2PF.

offset from the most stable computed form = 0.0 kJ/mol of atoms
crystal system = trigonal
raw formation energy = -1.983 eV/atom

Lattice parameters (Å, degrees): 6.658 6.658 6.658 35.08 35.08 35.08
Positions (direct):
Nd: 0.249 0.249 0.249
Nd: 0.751 0.751 0.751
P: 0.000 0.000 0.000
F: 0.500 0.500 0.500

Entry 4:
The following is a DFT calculation (PBE) of an optimized crystal structure of Nd2PF3.

crystal system = monoclinic
raw formation energy = -3.098 eV/atom

Lattice parameters (Å, degrees): 7.796 7.796 7.982 117.04 117.04 29.22
Positions (direct):
Nd: 0.017 0.017 0.228
Nd: 0.285 0.285 0.286
Nd: 0.715 0.715 0.714
Nd: 0.983 0.983 0.772
P: 0.371 0.371 0.948
P: 0.629 0.629 0.052
F: 0.111 0.111 0.684
F: 0.190 0.190 0.459
F: 0.441 0.441 0.586
F: 0.559 0.559 0.414
F: 0.810 0.810 0.541
F: 0.889 0.889 0.316

Entry 5:
The following is a DFT calculation (PBE) of an optimized crystal structure of Nd4P3F.

crystal system = orthorhombic
raw formation energy = -1.790 eV/atom

Lattice parameters (Å, degrees): 4.104 7.057 7.057 109.17 90.00 90.00
Positions (direct):
Nd: 0.000 0.000 0.000
Nd: 0.000 0.481 0.481
Nd: 0.500 0.490 0.992
Nd: 0.500 0.992 0.490
P: 0.000 0.241 0.741
P: 0.000 0.741 0.241
P: 0.500 0.241 0.241
F: 0.500 0.743 0.743

Entry 6:
The following is a DFT calculation (PBE) of an optimized crystal structure of Nd2PF.

offset from the most stable computed form = 9.1 kJ/mol of atoms
crystal system = trigonal
raw formation energy = -1.889 eV/atom

Lattice parameters (Å, degrees): 7.241 7.241 7.241 31.32 31.32 31.32
Positions (direct):
Nd: 0.000 0.000 0.000
Nd: 0.176 0.176 0.176
P: 0.588 0.588 0.588
F: 0.415 0.415 0.415

Entry 7:
The following is a DFT calculation (PBE) of an optimized crystal structure of NdPRhF.

crystal system = tetragonal
raw formation energy = -2.089 eV/atom

Lattice parameters (Å, degrees): 3.916 3.916 8.589 90.00 90.00 90.00
Positions (direct):
Nd: 0.250 0.250 0.190
Nd: 0.750 0.750 0.810
P: 0.250 0.250 0.662
P: 0.750 0.750 0.338
Rh: 0.250 0.750 0.500
Rh: 0.750 0.250 0.500
F: 0.250 0.750 0.000
F: 0.750 0.250 0.000

Entry 8:
The following is a DFT calculation (PBE) of an optimized crystal structure of NdPRuF.

crystal system = tetragonal
raw formation energy = -2.049 eV/atom

Lattice parameters (Å, degrees): 4.006 4.006 8.310 90.00 90.00 90.00
Positions (direct):
Nd: 0.250 0.250 0.190
Nd: 0.750 0.750 0.810
P: 0.250 0.250 0.648
P: 0.750 0.750 0.352
Ru: 0.250 0.750 0.500
Ru: 0.750 0.250 0.500
F: 0.250 0.750 0.000
F: 0.750 0.250 0.000

Entry 9:
The following is a DFT calculation (PBE) of an optimized crystal structure of Nd2PaF.

crystal system = trigonal
raw formation energy = -0.826 eV/atom

Lattice parameters (Å, degrees): 10.627 10.627 10.627 17.68 17.68 17.68
Positions (direct):
Nd: 0.104 0.104 0.104
Nd: 0.896 0.896 0.896
Pa: 0.000 0.000 0.000
F: 0.500 0.500 0.500

Entry 10:
The following is a DFT calculation (PBE) of an optimized crystal structure of NdPb6F15.

crystal system = monoclinic
raw formation energy = -2.683 eV/atom

Lattice parameters (Å, degrees): 4.176 4.176 24.641 94.85 94.85 60.11
Positions (direct):
Nd: 0.000 0.000 0.000
Pb: 0.133 0.133 0.422
Pb: 0.282 0.282 0.854
Pb: 0.420 0.420 0.279
Pb: 0.564 0.564 0.708
Pb: 0.707 0.707 0.136
Pb: 0.847 0.847 0.566
F: 0.030 0.030 0.099
F: 0.098 0.098 0.315
F: 0.169 0.169 0.529
F: 0.242 0.242 0.745
F: 0.316 0.316 0.951
F: 0.348 0.348 0.049
F: 0.387 0.387 0.174
F: 0.454 0.454 0.386
F: 0.527 0.527 0.604
F: 0.605 0.605 0.821
F: 0.666 0.666 0.001
F: 0.741 0.741 0.239
F: 0.811 0.811 0.459
F: 0.885 0.885 0.672
F: 0.964 0.964 0.898

Entry 11:
The following is a DFT calculation (PBE) of an optimized crystal structure of NdPbF.

offset from the most stable computed form = 13.4 kJ/mol of atoms
crystal system = tetragonal
raw formation energy = -1.713 eV/atom

Lattice parameters (Å, degrees): 6.614 6.614 6.614 149.88 149.88 43.11
Positions (direct):
Nd: 0.000 0.000 0.000
Pb: 0.284 0.284 0.000
F: 0.549 0.549 0.000

Entry 12:
The following is a DFT calculation (PBE) of an optimized crystal structure of NdPb2F8.

crystal system = monoclinic
raw formation energy = -2.812 eV/atom

Lattice parameters (Å, degrees): 8.984 8.984 5.490 101.41 101.41 25.11
Positions (direct):
Nd: 0.000 0.000 0.000
Pb: 0.344 0.344 0.452
Pb: 0.656 0.656 0.548
F: 0.093 0.093 0.740
F: 0.127 0.127 0.271
F: 0.245 0.245 0.688
F: 0.476 0.476 0.754
F: 0.524 0.524 0.246
F: 0.755 0.755 0.312
F: 0.873 0.873 0.729
F: 0.907 0.907 0.260

Entry 13:
The following is a DFT calculation (PBE) of an optimized crystal structure of NdPb3F8.

crystal system = cubic
raw formation energy = -2.735 eV/atom

Lattice parameters (Å, degrees): 6.000 6.000 6.000 90.00 90.00 90.00
Positions (direct):
Nd: 0.000 0.000 0.000
Pb: 0.000 0.500 0.500
Pb: 0.500 0.000 0.500
Pb: 0.500 0.500 0.000
F: 0.230 0.230 0.230
F: 0.230 0.230 0.770
F: 0.230 0.770 0.230
F: 0.230 0.770 0.770
F: 0.770 0.230 0.230
F: 0.770 0.230 0.770
F: 0.770 0.770 0.230
F: 0.770 0.770 0.770

Entry 14:
The following is a DFT calculation (PBE) of an optimized crystal structure of Nd2PbF.

offset from the most stable computed form = 22.9 kJ/mol of atoms
crystal system = tetragonal
raw formation energy = -1.151 eV/atom

Lattice parameters (Å, degrees): 3.467 3.467 8.188 90.00 90.00 90.00
Positions (direct):
Nd: 0.000 0.000 0.226
Nd: 0.000 0.000 0.774
Pb: 0.500 0.500 0.500
F: 0.500 0.500 0.000

Entry 15:
The following is a DFT calculation (PBE) of an optimized crystal structure of NdPbF.

offset from the most stable computed form = 0.0 kJ/mol of atoms
crystal system = hexagonal
raw formation energy = -1.853 eV/atom

Lattice parameters (Å, degrees): 4.042 4.042 5.415 90.00 90.00 120.00
Positions (direct):
Nd: 0.000 0.000 0.000
Pb: 0.667 0.333 0.500
F: 0.333 0.667 0.000

Entry 16:
The following is a DFT calculation (PBE) of an optimized crystal structure of Nd2PbF.

offset from the most stable computed form = 0.0 kJ/mol of atoms
crystal system = trigonal
raw formation energy = -1.388 eV/atom

Lattice parameters (Å, degrees): 8.177 8.177 8.177 34.11 34.11 34.11
Positions (direct):
Nd: 0.099 0.099 0.099
Nd: 0.901 0.901 0.901
Pb: 0.500 0.500 0.500
F: 0.000 0.000 0.000

Entry 17:
The following is a DFT calculation (PBE) of an optimized crystal structure of NdPb8F19.

crystal system = monoclinic
raw formation energy = -2.609 eV/atom

Lattice parameters (Å, degrees): 4.208 4.208 33.036 90.06 90.06 59.99
Positions (direct):
Nd: 0.000 0.000 0.000
Pb: 0.005 0.005 0.322
Pb: 0.005 0.005 0.860
Pb: 0.007 0.007 0.644
Pb: 0.335 0.335 0.108
Pb: 0.339 0.339 0.429
Pb: 0.340 0.340 0.751
Pb: 0.670 0.670 0.214
Pb: 0.673 0.673 0.536
F: 0.001 0.001 0.074
F: 0.003 0.003 0.233
F: 0.004 0.004 0.935
F: 0.006 0.006 0.394
F: 0.007 0.007 0.556
F: 0.007 0.007 0.716
F: 0.333 0.333 0.996
F: 0.336 0.336 0.179
F: 0.338 0.338 0.341
F: 0.339 0.339 0.825
F: 0.340 0.340 0.502
F: 0.340 0.340 0.664
F: 0.667 0.667 0.018
F: 0.668 0.668 0.128
F: 0.671 0.671 0.287
F: 0.672 0.672 0.879
F: 0.673 0.673 0.448
F: 0.673 0.673 0.609
F: 0.673 0.673 0.769

Entry 18:
The following is a DFT calculation (PBE) of an optimized crystal structure of NdPb2F11.

crystal system = orthorhombic
raw formation energy = -2.506 eV/atom

Lattice parameters (Å, degrees): 8.579 8.579 8.579 123.85 105.97 99.67
Positions (direct):
Nd: 0.250 0.250 0.000
Nd: 0.750 0.750 0.000
Pb: 0.182 0.639 0.821
Pb: 0.318 0.139 0.458
Pb: 0.682 0.861 0.542
Pb: 0.818 0.361 0.179
F: 0.000 0.500 0.500
F: 0.041 0.959 0.281
F: 0.060 0.365 0.158
F: 0.178 0.459 0.918
F: 0.206 0.902 0.842
F: 0.213 0.372 0.584
F: 0.287 0.872 0.159
F: 0.294 0.135 0.695
F: 0.322 0.240 0.281
F: 0.440 0.598 0.305
F: 0.459 0.740 0.918
F: 0.500 0.000 0.500
F: 0.541 0.260 0.082
F: 0.560 0.402 0.695
F: 0.678 0.760 0.719
F: 0.706 0.865 0.305
F: 0.713 0.128 0.841
F: 0.787 0.628 0.416
F: 0.794 0.098 0.158
F: 0.822 0.541 0.082
F: 0.940 0.635 0.842
F: 0.959 0.041 0.719

Entry 19:
The following is a DFT calculation (PBE) of an optimized crystal structure of RbNdPbF6.

crystal system = orthorhombic
raw formation energy = -3.115 eV/atom

Lattice parameters (Å, degrees): 8.254 8.254 8.254 122.04 119.27 88.89
Positions (direct):
Rb: 0.387 0.137 0.250
Rb: 0.613 0.863 0.750
Nd: 0.000 0.500 0.500
Nd: 0.500 0.500 0.000
Pb: 0.000 0.000 0.500
Pb: 0.000 0.500 0.000
F: 0.114 0.864 0.250
F: 0.159 0.431 0.324
F: 0.159 0.836 0.728
F: 0.168 0.418 0.750
F: 0.392 0.164 0.824
F: 0.392 0.569 0.228
F: 0.608 0.431 0.772
F: 0.608 0.836 0.176
F: 0.832 0.582 0.250
F: 0.841 0.164 0.272
F: 0.841 0.569 0.676
F: 0.886 0.136 0.750

Entry 20:
The following is a DFT calculation (PBE) of an optimized crystal structure of RbNdPdF6.

crystal system = orthorhombic
raw formation energy = -2.727 eV/atom

Lattice parameters (Å, degrees): 8.277 8.277 8.277 121.62 117.66 90.66
Positions (direct):
Rb: 0.292 0.042 0.250
Rb: 0.708 0.958 0.750
Nd: 0.000 0.500 0.500
Nd: 0.500 0.500 0.000
Pd: 0.000 0.000 0.500
Pd: 0.000 0.500 0.000
F: 0.046 0.398 0.214
F: 0.046 0.832 0.648
F: 0.064 0.814 0.250
F: 0.316 0.168 0.714
F: 0.316 0.602 0.148
F: 0.325 0.575 0.750
F: 0.675 0.425 0.250
F: 0.684 0.398 0.852
F: 0.684 0.832 0.286
F: 0.936 0.186 0.750
F: 0.954 0.168 0.352
F: 0.954 0.602 0.786